Entry 1:
This record from Alexandria describes a relaxed Ce5Os2Pb2 crystal. The functional is GGA-PBE.

## Properties
- Total energy: -6.810 eV/atom

```
data_Ce5Os2Pb2
_cell_length_a 15.936
_cell_length_b 5.354
_cell_length_c 6.068
_cell_angle_alpha 90.00
_cell_angle_beta 105.98
_cell_angle_gamma 90.00
_space_group_name_H-M_alt 'C 1 2/m 1'
_space_group_IT_number 12
loop_
_space_group_symop_operation_xyz
'x,y,z'
'-x,-y,-z'
'-x,y,-z'
'x,-y,z'
'x+1/2,y+1/2,z'
'-x+1/2,-y+1/2,-z'
'-x+1/2,y+1/2,-z'
'x+1/2,-y+1/2,z'
loop_
_atom_site_label
_atom_site_type_symbol
_atom_site_fract_x
_atom_site_fract_y
_atom_site_fract_z
Ce1 Ce 0.000 0.000 0.000
Ce2 Ce 0.151 0.500 0.914
Ce3 Ce 0.188 0.000 0.573
Os1 Os 0.168 0.000 0.059
Pb1 Pb 0.070 0.500 0.354
```

Entry 2:
This record from Alexandria describes a relaxed Tc2NiOs crystal. The functional is GGA-PBE.

## Properties
- Total energy: -9.363 eV/atom

```
data_Tc2NiOs
_cell_length_a 3.810
_cell_length_b 3.810
_cell_length_c 7.538
_cell_angle_alpha 90.00
_cell_angle_beta 90.00
_cell_angle_gamma 90.00
_space_group_name_H-M_alt 'I -4 m 2'
_space_group_IT_number 119
_space_group_name_Hall 'I -4 -2'
loop_
_atom_site_label
_atom_site_type_symbol
_atom_site_fract_x
_atom_site_fract_y
_atom_site_fract_z
Tc1 Tc 0.000 0.000 0.000
Tc2 Tc 0.000 0.500 0.250
Ni1 Ni 0.000 0.000 0.500
Os1 Os 0.000 0.500 0.750
```

Entry 3:
This record from Alexandria describes a relaxed Y2CdWC crystal. The functional is GGA-PBE.

## Properties
- Total energy: -7.323 eV/atom

```
data_Y2CdWC
_cell_length_a 5.021
_cell_length_b 5.021
_cell_length_c 4.108
_cell_angle_alpha 90.00
_cell_angle_beta 90.00
_cell_angle_gamma 90.00
_space_group_name_H-M_alt 'P 4/m m m'
_space_group_IT_number 123
_space_group_name_Hall '-P 4 2'
loop_
_atom_site_label
_atom_site_type_symbol
_atom_site_fract_x
_atom_site_fract_y
_atom_site_fract_z
Y1 Y 0.000 0.500 0.000
Cd1 Cd 0.000 0.000 0.500
W1 W 0.500 0.500 0.500
C1 C 0.500 0.500 0.000
```

Entry 4:
This record from Alexandria describes a relaxed ScNbIO2 crystal. The functional is GGA-PBE.

## Properties
- Raw formation energy: -1.1036 eV per atom

```
data_ScNbIO2
_cell_length_a 4.043
_cell_length_b 4.043
_cell_length_c 5.868
_cell_angle_alpha 90.00
_cell_angle_beta 90.00
_cell_angle_gamma 90.00
_space_group_name_H-M_alt 'P 4/m m m'
_space_group_IT_number 123
_space_group_name_Hall '-P 4 2'
loop_
_atom_site_label
_atom_site_type_symbol
_atom_site_fract_x
_atom_site_fract_y
_atom_site_fract_z
Sc1 Sc 0.000 0.000 0.000
Nb1 Nb 0.500 0.500 0.500
I1 I 0.500 0.500 0.000
O1 O 0.000 0.500 0.500
```

Entry 5:
This record from Alexandria describes a relaxed Tb3CeNd2 crystal. The functional is GGA-PBE.

## Properties
- Total energy: -4.803 eV/atom

```
data_Tb3CeNd2
_cell_length_a 20.244
_cell_length_b 3.556
_cell_length_c 14.915
_cell_angle_alpha 90.00
_cell_angle_beta 132.11
_cell_angle_gamma 90.00
_space_group_name_H-M_alt 'C 1 2/m 1'
_space_group_IT_number 12
loop_
_space_group_symop_operation_xyz
'x,y,z'
'-x,-y,-z'
'-x,y,-z'
'x,-y,z'
'x+1/2,y+1/2,z'
'-x+1/2,-y+1/2,-z'
'-x+1/2,y+1/2,-z'
'x+1/2,-y+1/2,z'
loop_
_atom_site_label
_atom_site_type_symbol
_atom_site_fract_x
_atom_site_fract_y
_atom_site_fract_z
Tb1 Tb 0.065 0.000 0.396
Tb2 Tb 0.106 0.500 0.645
Tb3 Tb 0.148 0.000 0.889
Ce1 Ce 0.020 0.500 0.143
Nd1 Nd 0.189 0.500 0.135
Nd2 Nd 0.228 0.000 0.376
```

Entry 6:
This record from Alexandria describes a relaxed LiCaPmAl crystal. The functional is GGA-PBE.

## Properties
- Total energy: -3.267 eV/atom

```
data_LiCaPmAl
_cell_length_a 7.519
_cell_length_b 7.519
_cell_length_c 7.519
_cell_angle_alpha 90.00
_cell_angle_beta 90.00
_cell_angle_gamma 90.00
_space_group_name_H-M_alt 'F -4 3 m'
_space_group_IT_number 216
_space_group_name_Hall 'F -4 2 3'
loop_
_atom_site_label
_atom_site_type_symbol
_atom_site_fract_x
_atom_site_fract_y
_atom_site_fract_z
Li1 Li 0.000 0.000 0.000
Ca1 Ca 0.250 0.250 0.250
Pm1 Pm 0.250 0.250 0.750
Al1 Al 0.000 0.000 0.500
```

Entry 7:
This record from Alexandria describes a relaxed NaV2SnAu crystal. The functional is GGA-PBE.

## Properties
- Total energy: -3.953 eV/atom

```
data_NaV2SnAu
_cell_length_a 4.875
_cell_length_b 4.875
_cell_length_c 4.763
_cell_angle_alpha 90.00
_cell_angle_beta 90.00
_cell_angle_gamma 90.00
_space_group_name_H-M_alt 'P 4/m m m'
_space_group_IT_number 123
_space_group_name_Hall '-P 4 2'
loop_
_atom_site_label
_atom_site_type_symbol
_atom_site_fract_x
_atom_site_fract_y
_atom_site_fract_z
Na1 Na 0.000 0.000 0.000
V1 V 0.000 0.500 0.000
Sn1 Sn 0.500 0.500 0.500
Au1 Au 0.000 0.000 0.500
```

Entry 8:
This record from Alexandria describes a relaxed La6RuRh2I3 crystal. The functional is GGA-PBE.

## Properties
- Raw formation energy: -0.9758 eV per atom

```
data_La6RuRh2I3
_cell_length_a 7.314
_cell_length_b 12.668
_cell_length_c 8.644
_cell_angle_alpha 90.00
_cell_angle_beta 106.38
_cell_angle_gamma 90.00
_space_group_name_H-M_alt 'C 1 2/m 1'
_space_group_IT_number 12
loop_
_space_group_symop_operation_xyz
'x,y,z'
'-x,-y,-z'
'-x,y,-z'
'x,-y,z'
'x+1/2,y+1/2,z'
'-x+1/2,-y+1/2,-z'
'-x+1/2,y+1/2,-z'
'x+1/2,-y+1/2,z'
loop_
_atom_site_label
_atom_site_type_symbol
_atom_site_fract_x
_atom_site_fract_y
_atom_site_fract_z
La1 La 0.226 0.164 0.186
La2 La 0.234 0.500 0.186
Ru1 Ru 0.000 0.000 0.000
Rh1 Rh 0.000 0.333 0.000
I1 I 0.000 0.166 0.500
I2 I 0.000 0.500 0.500
```

Entry 9:
This record from Alexandria describes a relaxed SrPr15Sm4 crystal. The functional is GGA-PBE.

## Properties
- Total energy: -4.579 eV/atom

```
data_SrPr15Sm4
_cell_length_a 5.266
_cell_length_b 5.266
_cell_length_c 26.241
_cell_angle_alpha 90.00
_cell_angle_beta 90.00
_cell_angle_gamma 90.00
_space_group_name_H-M_alt 'P 4/m m m'
_space_group_IT_number 123
_space_group_name_Hall '-P 4 2'
loop_
_atom_site_label
_atom_site_type_symbol
_atom_site_fract_x
_atom_site_fract_y
_atom_site_fract_z
Sr1 Sr 0.000 0.000 0.000
Pr1 Pr 0.000 0.500 0.106
Pr2 Pr 0.000 0.500 0.302
Pr3 Pr 0.000 0.500 0.500
Pr4 Pr 0.500 0.500 0.000
Pr5 Pr 0.500 0.500 0.203
Pr6 Pr 0.500 0.500 0.401
Sm1 Sm 0.000 0.000 0.203
Sm2 Sm 0.000 0.000 0.401
```

Entry 10:
This record from Alexandria describes a relaxed Sm4Al2Cd crystal. The functional is GGA-PBE.

## Properties
- Total energy: -4.123 eV/atom

```
data_Sm4Al2Cd
_cell_length_a 5.2325
_cell_length_b 5.2325
_cell_length_c 25.1521
_cell_angle_alpha 90.00
_cell_angle_beta 90.00
_cell_angle_gamma 120.00
_space_group_name_H-M_alt 'R -3 m'
_space_group_IT_number 166
_space_group_name_Hall '-R 3 2"'
loop_
_atom_site_label
_atom_site_type_symbol
_atom_site_fract_x
_atom_site_fract_y
_atom_site_fract_z
Sm1 Sm 0.0000 0.0000 0.1166
Sm2 Sm 0.0000 0.0000 0.3694
Al1 Al 0.0000 0.0000 0.2458
Cd1 Cd 0.0000 0.0000 0.5000
```

Entry 11:
This record from Alexandria describes a relaxed Pr2GdPb crystal. The functional is GGA-PBE.

## Properties
- Total energy: -7.178 eV/atom

```
data_Pr2GdPb
_cell_length_a 5.017
_cell_length_b 5.017
_cell_length_c 4.958
_cell_angle_alpha 90.00
_cell_angle_beta 90.00
_cell_angle_gamma 90.00
_space_group_name_H-M_alt 'P 4/m m m'
_space_group_IT_number 123
_space_group_name_Hall '-P 4 2'
loop_
_atom_site_label
_atom_site_type_symbol
_atom_site_fract_x
_atom_site_fract_y
_atom_site_fract_z
Pr1 Pr 0.000 0.500 0.000
Gd1 Gd 0.000 0.000 0.500
Pb1 Pb 0.500 0.500 0.500
```

Entry 12:
This record from Alexandria describes a relaxed SiSe3I crystal. The functional is GGA-PBE.

## Properties
- Raw formation energy: 0.4112 eV per atom

```
data_SiSe3I
_cell_length_a 4.937
_cell_length_b 4.937
_cell_length_c 4.937
_cell_angle_alpha 90.00
_cell_angle_beta 90.00
_cell_angle_gamma 90.00
_space_group_name_H-M_alt 'P m -3 m'
_space_group_IT_number 221
_space_group_name_Hall '-P 4 2 3'
loop_
_atom_site_label
_atom_site_type_symbol
_atom_site_fract_x
_atom_site_fract_y
_atom_site_fract_z
Si1 Si 0.000 0.000 0.000
Se1 Se 0.000 0.000 0.500
I1 I 0.500 0.500 0.500
```

| no. | Fermi-level density of states (states/eV/cell) |
| --- | --- |
| 1 | 44.9 |
| 2 | 7.9 |
| 3 | 5.8 |
| 4 | 5.1 |
| 5 | 48.2 |
| 6 | 13.0 |
| 7 | 10.8 |
| 8 | 9.2 |
| 9 | 30.6 |
| 10 | 21.3 |
| 11 | 3.6 |
| 12 | 4.8 |